(1)
The following is a DFT calculation (GGA-PBE) of a geometry-optimized ThSi2S8 structure.

For the density, the calculation gives 2.28 g/cm3. As for the formation energy (no corrections): -0.593 eV per atom.

The structure belongs to space group C2/m (No. 12); the cell edges are 16.354, 7.480 and 6.917 Å and the angles 90.00°, 110.59° and 90.00°. The inequivalent atoms are Th at (0.000, 0.000, 0.000), Si at (0.138, 0.000, 0.753), S at (0.102, 0.232, 0.866), S at (0.114, 0.000, 0.420) and S at (0.244, 0.000, 0.640).

(2)
The following is a DFT calculation (GGA-PBE) of a geometry-optimized KH2RuBr8 structure.

For the total energy, the calculation gives -2.97 eV per atom. For the density, the calculation gives 3.05 g/cm3.

The structure belongs to space group P-1 (No. 2); the cell edges are 7.060, 7.331 and 9.145 Å and the angles 76.51°, 87.46° and 67.55°. The inequivalent atoms are K at (0.000, 0.000, 0.000), H at (0.259, 0.470, 0.845), Ru at (0.000, 0.000, 0.500), Br at (0.180, 0.739, 0.356), Br at (0.235, 0.171, 0.413), Br at (0.247, 0.783, 0.725) and Br at (0.321, 0.279, 0.962).

(3)
The following is a DFT calculation (GGA-PBE) of a geometry-optimized Hf2MnZn2 structure.

As for the formation energy: 0.37 eV per atom. For the density, the calculation gives 9.51 g/cm3.

The structure belongs to space group P4/mbm (No. 127); the cell edges are 6.874, 6.874 and 4.009 Å and the angles 90.00°, 90.00° and 90.00°. The inequivalent atoms are Hf at (0.163, 0.337, 0.000), Mn at (0.000, 0.000, 0.000) and Zn at (0.140, 0.640, 0.500).

What did we get for spin magnetization? Answer: 0.00; 3.04; 1.96 μB per formula unit, in the order shown.